Record 1
# ZnPRu, optimized geometry, DFT PBE
# VASP energy, hartree per atom: -0.197
# Energy of formation, eV per atom: -0.04
# Space-group type: F-43m
# Fermi-level density of states, states/eV/atom: 0.862
data_ZnPRu
_chemical_formula_sum 'Zn1 P1 Ru1'
_cell_length_a 3.967
_cell_length_b 3.967
_cell_length_c 3.967
_cell_angle_alpha 60.00
_cell_angle_beta 60.00
_cell_angle_gamma 60.00
_space_group_name_H-M_alt 'P 1'
_space_group_IT_number 1
_space_group_name_Hall 'P 1'
loop_
_atom_site_label
_atom_site_fract_x
_atom_site_fract_y
_atom_site_fract_z
_atom_site_occupancy
Zn1 0.500 0.500 0.500 1
P1 0.250 0.250 0.250 1
Ru1 0.000 0.000 0.000 1



Record 2
# TaTiGaOs, optimized geometry, DFT PBE
# VASP energy, hartree per atom: -0.322
# Energy of formation, eV per atom: -0.27
# Space-group type: F-43m
# Fermi-level density of states, states/eV/atom: 0.994
data_TaTiGaOs
_chemical_formula_sum 'Ta1 Ti1 Ga1 Os1'
_cell_length_a 4.468
_cell_length_b 4.468
_cell_length_c 4.468
_cell_angle_alpha 60.00
_cell_angle_beta 60.00
_cell_angle_gamma 60.00
_space_group_name_H-M_alt 'P 1'
_space_group_IT_number 1
_space_group_name_Hall 'P 1'
loop_
_atom_site_label
_atom_site_fract_x
_atom_site_fract_y
_atom_site_fract_z
_atom_site_occupancy
Ti1 0.000 0.000 0.000 1
Os1 0.500 0.500 0.500 1
Ga1 0.750 0.750 0.750 1
Ta1 0.250 0.250 0.250 1



Record 3
# CsSCl2, optimized geometry, DFT PBE
# VASP energy, hartree per atom: -0.092
# Space-group type: R-3m
# E above lowest polymorph, kcal/mol of atoms: 8.516
# Fermi-level density of states, states/eV/atom: 2.533
data_CsSCl2
_chemical_formula_sum 'Cs1 S1 Cl2'
_cell_length_a 6.356
_cell_length_b 6.356
_cell_length_c 6.356
_cell_angle_alpha 46.12
_cell_angle_beta 46.12
_cell_angle_gamma 46.12
_space_group_name_H-M_alt 'P 1'
_space_group_IT_number 1
_space_group_name_Hall 'P 1'
loop_
_atom_site_label
_atom_site_fract_x
_atom_site_fract_y
_atom_site_fract_z
_atom_site_occupancy
Cs1 0.000 0.000 0.000 1
S1 0.500 0.500 0.500 1
Cl1 0.791 0.791 0.791 1
Cl2 0.209 0.209 0.209 1



What is the formula in the third record?
CsSCl2



Which formula does entry 3 have?
CsSCl2



Among the records above, which one has the lowest VASP energy?
TaTiGaOs